Below is crystalline LaNdCl6 at its relaxed geometry, with properties calculated at the PBE level.

Structure (POSCAR):
```
LaNdCl6
1.0
7.505 0.000 0.000
-3.753 6.500 0.000
0.000 0.000 4.309
La Nd Cl
1 1 6
Cartesian
0.000 0.000 0.000
0.000 4.333 2.154
-1.947 4.133 0.000
1.984 0.186 2.154
1.147 2.747 0.000
0.800 6.119 0.000
2.922 4.688 2.154
6.352 1.625 2.154
```

Values from the calculation:
energy relative to the lowest polymorph listed for this composition: 0 meV/atom
calculated volume: 210.2 Å³ per cell